No. 1
## PmYRuAu (GGA-PBE)

Data for a relaxed PmYRuAu crystal.

Summary:
**ρ**: 9.85 g/cm3
**Formation enthalpy at 0 K**: -0.5019 eV/atom
**DOS at the Fermi energy**: 0.732 states/eV per atom
**Calculated total energy**: -25.8 eV per formula unit

```
data_PmYRuAu
_space_group_name_H-M_alt 'F -4 3 m'
_space_group_IT_number 216
_space_group_name_Hall 'F -4 2 3'
_cell_length_a 7.1051
_cell_length_b 7.1051
_cell_length_c 7.1051
_cell_angle_alpha 90.00
_cell_angle_beta 90.00
_cell_angle_gamma 90.00
loop_
_atom_site_label
_atom_site_fract_x
_atom_site_fract_y
_atom_site_fract_z
Pm1 0.0000 0.0000 0.0000
Y1 0.0000 0.0000 0.5000
Ru1 0.2500 0.2500 0.2500
Au1 0.2500 0.2500 0.7500
```

No. 2
## PmZrRuAu (GGA-PBE)

Data for a relaxed PmZrRuAu crystal.

Summary:
**ρ**: 10.57 g/cm3
**Formation enthalpy at 0 K**: -0.3624 eV/atom
**DOS at the Fermi energy**: 1.165 states/eV per atom
**Calculated total energy**: -27.3 eV per formula unit

```
data_PmZrRuAu
_space_group_name_H-M_alt 'F -4 3 m'
_space_group_IT_number 216
_space_group_name_Hall 'F -4 2 3'
_cell_length_a 6.9491
_cell_length_b 6.9491
_cell_length_c 6.9491
_cell_angle_alpha 90.00
_cell_angle_beta 90.00
_cell_angle_gamma 90.00
loop_
_atom_site_label
_atom_site_fract_x
_atom_site_fract_y
_atom_site_fract_z
Pm1 0.0000 0.0000 0.0000
Zr1 0.0000 0.0000 0.5000
Ru1 0.2500 0.2500 0.2500
Au1 0.2500 0.2500 0.7500
```